No. 1
8
Lattice="4.5476 0.0000 0.0000 0.0000 5.2415 -0.0727 -2.2738 -1.6763 7.8842" Properties=species:S:1:pos:R:3 comment="GGA-PBE Th3Al3Os2, relaxed" ef_ev_per_atom=-0.3918 dos_ef_per_ev_cell=4.88 pbc="T T T"
Th 0.0000 2.4954 2.5728
Os 0.0000 -0.1139 3.2900
Al 2.2738 -0.2525 2.1983
Al 2.2738 2.6208 -0.0363
Os 2.2738 3.6791 4.5216
Th 2.2738 1.0698 5.2387
Al 0.0000 3.8178 5.6132
Th 0.0000 0.0000 0.0000

***

No. 2
5
Lattice="-4.5693 1.1208 1.4497 -1.6075 -0.8141 -4.4372 -0.7920 -4.7201 1.1529" Properties=species:S:1:pos:R:3 comment="GGA-PBE TaTiGaPt2, relaxed" ef_ev_per_atom=0.8080 dos_ef_per_ev_cell=5.51 pbc="T T T"
Ti -0.8037 -0.4071 -2.2186
Ta 0.0000 0.0000 0.0000
Pt -2.2846 0.5604 0.7248
Ga -3.4844 -2.2067 -0.9173
Pt -0.3960 -2.3601 0.5765

***

No. 3
5
Lattice="6.6195 0.0000 0.0000 0.0000 6.6195 0.0000 0.0000 0.0000 6.6195" Properties=species:S:1:pos:R:3 comment="GGA-PBE K3HfW, relaxed" ef_ev_per_atom=2.4982 dos_ef_per_ev_cell=5.48 pbc="T T T"
K 0.0000 0.0000 3.3098
K 0.0000 3.3098 0.0000
K 3.3098 0.0000 0.0000
Hf 0.0000 0.0000 0.0000
W 3.3098 3.3098 3.3098

***

No. 4
8
Lattice="3.7463 -1.1592 0.0000 -1.4681 8.4952 0.0000 -1.1391 -3.6680 3.9213" Properties=species:S:1:pos:R:3 comment="GGA-PBE CuPd2Pt, relaxed" ef_ev_per_atom=-0.0570 dos_ef_per_ev_cell=15.30 relative_energy_ev_per_atom=0.043 pbc="T T T"
Pt 0.2026 3.9578 0.9761
Pd 1.4878 1.4848 0.9714
Cu -1.6706 4.5374 2.9026
Pd -1.0827 6.4308 0.9714
Cu 2.8098 -0.8694 1.0187
Pd 2.2219 -2.7628 2.9499
Pd -0.3487 2.1832 2.9499
Pt 0.9366 -0.2898 2.9452

***

No. 5
8
Lattice="-3.9344 0.2632 -5.2013 -5.2029 -0.4861 3.9110 -4.6471 2.1081 -0.4736" Properties=species:S:1:pos:R:3 comment="GGA-PBE TaMn2N, relaxed" dos_ef_per_ev_cell=4.10 formation_energy_uncorrected_ev_per_atom=-0.13 pbc="T T T"
Mn -7.5483 1.4380 -0.3606
Ta -6.5751 1.1299 -3.1600
N -4.5687 -0.1115 -0.6451
Mn -10.8440 1.4455 -1.9626
Mn -5.3867 0.2883 1.0396
N -7.2093 0.7553 1.3962
Ta 0.0000 0.0000 0.0000
Mn -3.7898 0.5985 -2.2441

***

No. 6
16
Lattice="6.2723 0.0000 0.0000 3.1362 7.3154 0.0000 3.1362 0.0000 13.0086" Properties=species:S:1:pos:R:3 comment="GGA-PBE Cs2PuGaS4, relaxed" dos_ef_per_ev_cell=18.34 formation_energy_uncorrected_ev_per_atom=-1.13 pbc="T T T"
S 6.0508 2.2610 7.8038
Ga 3.1362 0.0000 0.0000
Pu 7.8404 3.6577 6.5043
S 10.7551 5.9187 11.7090
Cs 7.8404 3.6577 1.8515
Ga 4.7042 3.6577 6.5043
S 9.6300 5.0544 7.8038
S 4.4827 1.3967 1.2995
S 4.9257 5.9187 1.2995
Cs 3.1362 0.0000 8.3558
Cs 6.2723 0.0000 4.6528
Pu 0.0000 0.0000 0.0000
Cs 7.8404 3.6577 11.1571
S 3.3576 2.2610 5.2048
S 6.0508 5.0544 5.2048
S 4.9257 1.3967 11.7090

***

No. 7
4
Lattice="2.7347 -0.0454 0.0000 -0.8175 2.6100 0.0000 0.0000 0.0000 8.6524" Properties=species:S:1:pos:R:3 comment="GGA-PBE TaFeMo2, relaxed" ef_ev_per_atom=0.0077 dos_ef_per_ev_cell=2.38 relative_energy_ev_per_atom=0.037 pbc="T T T"
Mo 0.9586 1.2823 2.1142
Ta 0.0000 0.0000 4.4442
Fe 0.9586 1.2823 6.5345
Mo 0.0000 0.0000 8.5380

***

No. 8
7
Lattice="4.1601 0.0000 0.0000 -2.0801 4.8131 0.1959 0.0000 -0.8470 7.1149" Properties=species:S:1:pos:R:3 comment="GGA-PBE Zr2Cd3Pd2, relaxed" ef_ev_per_atom=-0.2999 dos_ef_per_ev_cell=3.88 pbc="T T T"
Zr 2.0801 0.8624 2.6286
Pd 2.0801 3.5332 2.7575
Pd 0.0000 0.4329 4.5533
Cd 0.0000 2.7949 1.0889
Zr 0.0000 3.1037 4.6823
Cd 0.0000 0.0000 0.0000
Cd 2.0801 1.1712 6.2219